# GGA+U Li3MnCoO5, relaxed
# **Symmetry**: C2/m
# **Excess energy over the best structure of this formula in the dataset**: 72 meV per atom
data_Li3MnCoO5
_cell_length_a 10.759
_cell_length_b 10.759
_cell_length_c 5.928
_cell_angle_alpha 97.34
_cell_angle_beta 97.34
_cell_angle_gamma 15.51
_symmetry_space_group_name_H-M 'P 1'
_symmetry_Int_Tables_number 1
loop_
_symmetry_equiv_pos_as_xyz
'x,y,z'
loop_
_atom_site_label
_atom_site_fract_x
_atom_site_fract_y
_atom_site_fract_z
Li1 0.000 0.000 0.000
Li2 0.000 0.000 0.500
Li3 0.195 0.195 0.094
Li4 0.408 0.408 0.719
Li5 0.592 0.592 0.281
Li6 0.805 0.805 0.906
Mn1 0.199 0.199 0.605
Mn2 0.801 0.801 0.395
Co1 0.412 0.412 0.190
Co2 0.588 0.588 0.810
O1 0.103 0.103 0.038
O2 0.112 0.112 0.572
O3 0.295 0.295 0.179
O4 0.295 0.295 0.618
O5 0.495 0.495 0.256
O6 0.505 0.505 0.744
O7 0.705 0.705 0.382
O8 0.705 0.705 0.821
O9 0.888 0.888 0.428
O10 0.897 0.897 0.962